The following is a PBE-GGA calculation of CoMo2PRu after structural relaxation, from Alexandria via LeMat-Bulk.

Cell: 4.4201 4.2686 4.4201 Å, 90.00 90.00 90.00°
Each line ends with the local moment (μB).
Sites, in units of the cell vectors:
Mo  0.0000  0.0000  0.5000  0.11
Mo  0.5000  0.0000  0.0000  0.03
P  0.0000  0.0000  0.0000  0.03
Co  0.5000  0.5000  0.5000  2.03
Ru  0.0000  0.5000  0.0000  0.03

DFT total energy ... -7.953 eV per atom
Space group ... P4/mmm, No. 123

---

The following is a PBE-GGA calculation of CoMoP2S after structural relaxation, from Alexandria via LeMat-Bulk.

Cell: 4.7182 4.7182 4.5853 Å, 90.00 90.00 90.00°
Each line ends with the local moment (μB).
Sites, in units of the cell vectors:
Co  0.5000  0.5000  0.5000  2.15
P  0.0000  0.5000  0.0000  0.01
P  0.5000  0.0000  0.0000  0.01
S  0.0000  0.0000  0.5000  0.01
Mo  0.0000  0.0000  0.0000  -0.07

Distance to the lowest polymorph of the same formula ... 120.0 meV/atom
DFT total energy ... -5.697 eV per atom
Formation energy without anion corrections ... 0.88 eV/atom
Space group ... P4/mmm, No. 123

---

The following is a PBE-GGA calculation of CoMoP2S after structural relaxation, from Alexandria via LeMat-Bulk.

Cell: 4.2313 4.2313 4.3912 Å, 90.00 90.00 90.00°
Sites, in units of the cell vectors:
P  0.0000  0.5000  0.0000
P  0.5000  0.0000  0.0000
Mo  0.5000  0.5000  0.5000
Co  0.0000  0.0000  0.0000
S  0.0000  0.0000  0.5000

Distance to the lowest polymorph of the same formula ... 0.0 meV/atom
DFT total energy ... -5.817 eV per atom
Formation energy without anion corrections ... 0.76 eV/atom
Space group ... P4/mmm, No. 123

---

The following is a PBE-GGA calculation of CoSbMo2P after structural relaxation, from Alexandria via LeMat-Bulk.

Cell: 4.5625 4.0489 4.5625 Å, 90.00 90.00 90.00°
Sites, in units of the cell vectors:
Sb  0.5000  0.5000  0.5000
Mo  0.0000  0.0000  0.5000
Mo  0.5000  0.0000  0.0000
Co  0.0000  0.5000  0.0000
P  0.0000  0.0000  0.0000

DFT total energy ... -7.341 eV per atom
Formation energy without anion corrections ... 0.32 eV/atom
Space group ... P4/mmm, No. 123

---

The following is a PBE-GGA calculation of SrCoMoP2 after structural relaxation, from Alexandria via LeMat-Bulk.

Cell: 3.9635 3.9635 6.5223 Å, 107.69 107.69 90.00°
Sites, in units of the cell vectors:
Sr  0.0000  0.0000  0.0000
Co  0.7500  0.2500  0.5000
Mo  0.2500  0.7500  0.5000
P  0.6453  0.6453  0.2907
P  0.3547  0.3547  0.7093

DFT total energy ... -6.807 eV per atom
Space group ... I-4m2, No. 119

---

The following is a PBE-GGA calculation of ThCo2MoP2 after structural relaxation, from Alexandria via LeMat-Bulk.

Cell: 3.9648 3.9648 6.6974 Å, 90.00 90.00 120.00°
Sites, in units of the cell vectors:
Mo  0.0000  0.0000  0.5000
Co  0.6667  0.3333  0.3200
Co  0.3333  0.6667  0.6800
P  0.6667  0.3333  0.7049
P  0.3333  0.6667  0.2951
Th  0.0000  0.0000  0.0000

DFT total energy ... -7.921 eV per atom
Space group ... P-3m1, No. 164

---

The following is a PBE-GGA calculation of UCo2MoP2 after structural relaxation, from Alexandria via LeMat-Bulk.

Cell: 3.7739 3.7739 6.9379 Å, 90.00 90.00 120.00°
Each line ends with the local moment (μB).
Sites, in units of the cell vectors:
P  0.6667  0.3333  0.7125  -0.01
P  0.3333  0.6667  0.2875  -0.01
Mo  0.0000  0.0000  0.5000  0.77
Co  0.3333  0.6667  0.7602  0.05
Co  0.6667  0.3333  0.2398  0.05
U  0.0000  0.0000  0.0000  0.26

DFT total energy ... -8.417 eV per atom
Space group ... P-3m1, No. 164

---

The following is a PBE-GGA calculation of Zn2CoMoP after structural relaxation, from Alexandria via LeMat-Bulk.

Cell: 4.8716 4.3675 4.8716 Å, 90.00 90.00 90.00°
Each line ends with the local moment (μB).
Sites, in units of the cell vectors:
Zn  0.0000  0.0000  0.5000  0.00
Zn  0.5000  0.0000  0.0000  0.01
Co  0.0000  0.5000  0.0000  0.70
P  0.5000  0.5000  0.5000  -0.07
Mo  0.0000  0.0000  0.0000  -0.07

DFT total energy ... -3.682 eV per atom
Space group ... P4/mmm, No. 123

---

The following is a PBE-GGA calculation of PaCo4Mo after structural relaxation, from Alexandria via LeMat-Bulk.

Cell: 4.8461 4.8461 4.8461 Å, 60.00 60.00 60.00°
Sites, in units of the cell vectors:
Co  0.6257  0.6257  0.1228
Co  0.6257  0.6257  0.6257
Co  0.1228  0.6257  0.6257
Co  0.6257  0.1228  0.6257
Pa  0.2500  0.2500  0.2500
Mo  0.0000  0.0000  0.0000

DFT total energy ... -8.189 eV per atom
Space group ... F-43m, No. 216

---

The following is a PBE-GGA calculation of PaCo2Mo after structural relaxation, from Alexandria via LeMat-Bulk.

Cell: 3.8418 3.9767 3.9767 Å, 90.00 90.00 90.00°
Sites, in units of the cell vectors:
Co  0.0000  0.5000  0.0000
Co  0.0000  0.0000  0.5000
Pa  0.5000  0.0000  0.0000
Mo  0.5000  0.5000  0.5000

Distance to the lowest polymorph of the same formula ... 0.0 meV/atom
DFT total energy ... -8.666 eV per atom
Space group ... P4/mmm, No. 123

---

The following is a PBE-GGA calculation of PaCo2Mo after structural relaxation, from Alexandria via LeMat-Bulk.

Cell: 3.0339 3.0339 6.7224 Å, 90.00 90.00 90.00°
Sites, in units of the cell vectors:
Mo  0.5000  0.5000  0.0000
Co  0.0000  0.0000  0.2019
Co  0.0000  0.0000  0.7981
Pa  0.5000  0.5000  0.5000

Distance to the lowest polymorph of the same formula ... 91.5 meV/atom
DFT total energy ... -8.575 eV per atom
Space group ... P4/mmm, No. 123

---

The following is a PBE-GGA calculation of PaCo2Mo after structural relaxation, from Alexandria via LeMat-Bulk.

Cell: 2.8783 2.8783 8.9352 Å, 80.73 80.73 60.00°
Each line ends with the local moment (μB).
Sites, in units of the cell vectors:
Mo  0.5000  0.5000  0.5000  0.01
Co  0.2408  0.2408  0.2776  0.92
Co  0.7592  0.7592  0.7224  0.92
Pa  0.0000  0.0000  0.0000  -0.20

Distance to the lowest polymorph of the same formula ... 406.5 meV/atom
DFT total energy ... -8.260 eV per atom
Space group ... R-3m, No. 166

---

The following is a PBE-GGA calculation of Pa2CoMo after structural relaxation, from Alexandria via LeMat-Bulk.

Cell: 3.4671 3.4671 6.4586 Å, 90.00 90.00 90.00°
Sites, in units of the cell vectors:
Pa  0.0000  0.0000  0.7730
Pa  0.0000  0.0000  0.2270
Co  0.5000  0.5000  0.0000
Mo  0.5000  0.5000  0.5000

Distance to the lowest polymorph of the same formula ... 0.0 meV/atom
DFT total energy ... -9.240 eV per atom
Space group ... P4/mmm, No. 123

---

The following is a PBE-GGA calculation of Pa2CoMo after structural relaxation, from Alexandria via LeMat-Bulk.

Cell: 3.4220 3.4220 8.7550 Å, 78.73 78.73 60.00°
Sites, in units of the cell vectors:
Pa  0.9020  0.9020  0.2939
Pa  0.0980  0.0980  0.7061
Co  0.5000  0.5000  0.5000
Mo  0.0000  0.0000  0.0000

Distance to the lowest polymorph of the same formula ... 451.6 meV/atom
DFT total energy ... -8.788 eV per atom
Space group ... R-3m, No. 166

---

The following is a PBE-GGA calculation of ScPaCoMo after structural relaxation, from Alexandria via LeMat-Bulk.

Cell: 4.6782 4.6782 4.6782 Å, 60.00 60.00 60.00°
Sites, in units of the cell vectors:
Mo  0.0000  0.0000  0.0000
Sc  0.2500  0.2500  0.2500
Co  0.5000  0.5000  0.5000
Pa  0.7500  0.7500  0.7500

DFT total energy ... -8.530 eV per atom
Space group ... F-43m, No. 216